# 1
The following is a PBE-GGA calculation of MnNb6Sn3 after structural relaxation, from Alexandria.

Computed properties:
M_tot (μB/cell): 2.387
SG: R-3m (166)
N(E_F) (states/eV/f.u.): 7.87

Lattice parameters (Å, degrees): 7.651 7.651 7.651 71.40 71.40 71.40
Last column: magnetic moment on the atom in μB.
Fractional coordinates of all 20 atoms:
Nb (0.172, 0.524, 0.524)  0.02
Nb (0.892, 0.237, 0.237)  -0.08
Nb (0.828, 0.476, 0.476)  0.02
Nb (0.763, 0.108, 0.763)  -0.08
Nb (0.524, 0.524, 0.172)  0.02
Nb (0.476, 0.476, 0.828)  0.02
Nb (0.763, 0.763, 0.108)  -0.08
Nb (0.108, 0.763, 0.763)  -0.08
Nb (0.237, 0.237, 0.892)  -0.08
Nb (0.524, 0.172, 0.524)  0.02
Nb (0.476, 0.828, 0.476)  0.02
Nb (0.237, 0.892, 0.237)  -0.08
Sn (0.140, 0.532, 0.140)  -0.01
Sn (0.140, 0.140, 0.532)  -0.01
Sn (0.532, 0.140, 0.140)  -0.01
Sn (0.860, 0.860, 0.468)  -0.01
Sn (0.468, 0.860, 0.860)  -0.01
Sn (0.860, 0.468, 0.860)  -0.01
Mn (0.500, 0.500, 0.500)  -0.01
Mn (0.000, 0.000, 0.000)  2.67


# 2
The following is a PBE-GGA calculation of Mn2NbSn after structural relaxation, from Alexandria.

Computed properties:
M_tot (μB/cell): 9.899
SG: I-42d (122)
N(E_F) (states/eV/f.u.): 5.10

Lattice parameters (Å, degrees): 7.159 7.159 5.780 51.74 51.74 90.00
Last column: magnetic moment on the atom in μB.
Fractional coordinates of all 8 atoms:
Mn (0.143, 0.625, 0.250)  2.81
Mn (0.607, 0.125, 0.250)  2.76
Mn (0.875, 0.857, 0.750)  2.74
Mn (0.375, 0.393, 0.750)  2.71
Nb (0.250, 0.750, 0.500)  -0.72
Nb (0.500, 0.500, 0.000)  -0.72
Sn (0.750, 0.250, 0.500)  -0.01
Sn (0.000, 0.000, 0.000)  -0.01


# 3
The following is a PBE-GGA calculation of Mn2NbSn after structural relaxation, from Alexandria.

Computed properties:
M_tot (μB/cell): 1.000
SG: P4/mmm (123)
N(E_F) (states/eV/f.u.): 3.63

Lattice parameters (Å, degrees): 3.208 4.308 4.308 90.00 90.00 90.00
Last column: magnetic moment on the atom in μB.
Fractional coordinates of all 4 atoms:
Mn (0.000, 0.000, 0.500)  0.67
Mn (0.000, 0.500, 0.000)  0.67
Sn (0.500, 0.000, 0.000)  -0.04
Nb (0.500, 0.500, 0.500)  -0.29


# 4
The following is a PBE-GGA calculation of Mn4NbSn after structural relaxation, from Alexandria.

Computed properties:
M_tot (μB/cell): 4.269
SG: F-43m (216)
N(E_F) (states/eV/f.u.): 6.54

Lattice parameters (Å, degrees): 4.874 4.874 4.874 60.00 60.00 60.00
Last column: magnetic moment on the atom in μB.
Fractional coordinates of all 6 atoms:
Sn (0.000, 0.000, 0.000)  -0.06
Mn (0.626, 0.123, 0.626)  1.18
Mn (0.626, 0.626, 0.123)  1.18
Mn (0.123, 0.626, 0.626)  1.18
Mn (0.626, 0.626, 0.626)  1.18
Nb (0.250, 0.250, 0.250)  -0.43


# 5
The following is a PBE-GGA calculation of MnNbVSn after structural relaxation, from Alexandria.

Computed properties:
M_tot (μB/cell): 2.988
SG: F-43m (216)
N(E_F) (states/eV/f.u.): 0.57

Lattice parameters (Å, degrees): 4.479 4.479 4.479 60.00 60.00 60.00
Last column: magnetic moment on the atom in μB.
Fractional coordinates of all 4 atoms:
Mn (0.500, 0.500, 0.500)  1.48
V (0.000, 0.000, 0.000)  1.70
Nb (0.250, 0.250, 0.250)  -0.38
Sn (0.750, 0.750, 0.750)  -0.03


# 6
The following is a PBE-GGA calculation of YMnNbSn2 after structural relaxation, from Alexandria.

Computed properties:
M_tot (μB/cell): 3.220
SG: P4/mmm (123)
N(E_F) (states/eV/f.u.): 3.55

Lattice parameters (Å, degrees): 5.311 4.757 5.311 90.00 90.00 90.00
Last column: magnetic moment on the atom in μB.
Fractional coordinates of all 5 atoms:
Sn (0.000, 0.000, 0.500)  0.02
Sn (0.500, 0.000, 0.000)  0.08
Mn (0.000, 0.500, 0.000)  3.40
Nb (0.000, 0.000, 0.000)  -0.58
Y (0.500, 0.500, 0.500)  0.01


# 7
The following is a PBE-GGA calculation of SrMnNb3 after structural relaxation, from Alexandria.

Computed properties:
M_tot (μB/cell): 0.000
SG: Pm-3m (221)
N(E_F) (states/eV/f.u.): 10.30

Lattice parameters (Å, degrees): 4.799 4.799 4.799 90.00 90.00 90.00
Fractional coordinates of all 5 atoms:
Nb (0.000, 0.000, 0.500)
Nb (0.000, 0.500, 0.000)
Nb (0.500, 0.000, 0.000)
Mn (0.000, 0.000, 0.000)
Sr (0.500, 0.500, 0.500)


# 8
The following is a PBE-GGA calculation of SrMn2Nb after structural relaxation, from Alexandria.

Computed properties:
M_tot (μB/cell): 9.521
SG: I4_1/amd (141)
N(E_F) (states/eV/f.u.): 4.31

Lattice parameters (Å, degrees): 5.140 5.140 9.027 73.46 73.46 90.00
Last column: magnetic moment on the atom in μB.
Fractional coordinates of all 8 atoms:
Mn (0.875, 0.125, 0.750)  -2.96
Mn (0.875, 0.125, 0.250)  -2.98
Mn (0.375, 0.125, 0.750)  -2.95
Mn (0.875, 0.625, 0.250)  -2.98
Sr (0.250, 0.750, 0.500)  0.03
Sr (0.500, 0.500, 0.000)  0.03
Nb (0.000, 0.000, 0.000)  1.30
Nb (0.750, 0.250, 0.500)  1.30


# 9
The following is a PBE-GGA calculation of SrMnNb3 after structural relaxation, from Alexandria.

Computed properties:
M_tot (μB/cell): 0.001
SG: Pm-3m (221)
N(E_F) (states/eV/f.u.): 13.44

Lattice parameters (Å, degrees): 4.797 4.797 4.797 90.00 90.00 90.00
Last column: magnetic moment on the atom in μB.
Fractional coordinates of all 5 atoms:
Nb (0.500, 0.000, 0.000)  0.18
Nb (0.000, 0.500, 0.000)  0.04
Nb (0.000, 0.000, 0.500)  0.07
Sr (0.000, 0.000, 0.000)  -0.01
Mn (0.500, 0.500, 0.500)  -0.40


# 10
The following is a PBE-GGA calculation of SrMn2Nb after structural relaxation, from Alexandria.

Computed properties:
M_tot (μB/cell): 0.000
SG: Fm-3m (225)
N(E_F) (states/eV/f.u.): 8.60

Lattice parameters (Å, degrees): 4.607 4.607 4.607 60.00 60.00 60.00
Fractional coordinates of all 4 atoms:
Mn (0.250, 0.250, 0.250)
Mn (0.750, 0.750, 0.750)
Nb (0.500, 0.500, 0.500)
Sr (0.000, 0.000, 0.000)


# 11
The following is a PBE-GGA calculation of SrMn2NbTl after structural relaxation, from Alexandria.

Computed properties:
M_tot (μB/cell): 3.689
SG: P4/mmm (123)
N(E_F) (states/eV/f.u.): 8.51

Lattice parameters (Å, degrees): 4.927 5.658 4.927 90.00 90.00 90.00
Last column: magnetic moment on the atom in μB.
Fractional coordinates of all 5 atoms:
Mn (0.500, 0.000, 0.000)  -0.27
Mn (0.000, 0.000, 0.500)  -0.13
Sr (0.000, 0.500, 0.000)  -0.07
Nb (0.500, 0.500, 0.500)  -2.37
Tl (0.000, 0.000, 0.000)  0.04


# 12
The following is a PBE-GGA calculation of Ta2MnNb after structural relaxation, from Alexandria.

Computed properties:
M_tot (μB/cell): 0.000
SG: Amm2 (38)
N(E_F) (states/eV/f.u.): 4.29

Lattice parameters (Å, degrees): 2.939 2.968 8.001 100.69 90.00 90.00
Fractional coordinates of all 4 atoms:
Nb (0.000, 0.309, 0.618)
Ta (0.500, 0.471, 0.942)
Ta (0.500, 0.671, 0.343)
Mn (0.000, 0.074, 0.149)


# 13
The following is a PBE-GGA calculation of Ta2MnNb after structural relaxation, from Alexandria.

Computed properties:
M_tot (μB/cell): 0.000
SG: P4/mmm (123)
N(E_F) (states/eV/f.u.): 4.46

Lattice parameters (Å, degrees): 3.218 4.504 4.504 90.00 90.00 90.00
Fractional coordinates of all 4 atoms:
Nb (0.500, 0.000, 0.000)
Ta (0.000, 0.000, 0.500)
Ta (0.000, 0.500, 0.000)
Mn (0.500, 0.500, 0.500)


What are the ΔE_f values for these records? In order: 0.055, 0.568, 0.040, -0.028, -0.028, 0.374, 0.748, 0.913, 3.020, 1.042, 2.185, 0.203, -0.028 eV per atom.